Computed, not measured: crystalline Ca2AcPtRh at its relaxed geometry at the GGA-PBE level of DFT.

## Properties
N(E_F) = 4.54 states/eV/f.u.
formation energy from the elements = -315 meV/atom
size of the total moment = 0.0 μB/f.u.
total DFT energy (no corrections) = -23.1 eV for the cell shown
space-group type = No. 99

Cell lengths 5.1334, 5.1334, 6.0391 Å; angles 90.00, 90.00, 90.00 degrees
Fractional coordinates of all 5 atoms:
Ca1 0.0000 0.5000 0.9241
Ca2 0.5000 0.0000 0.9241
Ac1 0.0000 0.0000 0.4813
Pt1 0.5000 0.5000 0.6359
Rh1 0.0000 0.0000 0.0346



Computed, not measured: crystalline CaAcSbPt at its relaxed geometry at the GGA-PBE level of DFT.

## Properties
ΔE_f (raw) = -0.9261 eV/atom
size of the total moment = 0.0 μB/f.u.
total DFT energy (no corrections) = -20.0 eV for the cell shown
space-group type = No. 216

Cell lengths 5.4246, 5.4246, 5.4246 Å; angles 60.00, 60.00, 60.00 degrees
Fractional coordinates of all 4 atoms:
Sb1 0.5000 0.5000 0.5000
Ac1 0.7500 0.7500 0.7500
Ca1 0.2500 0.2500 0.2500
Pt1 0.0000 0.0000 0.0000



Look up the total DFT energy (no corrections) of the second one. -20.0 eV for the cell shown